A plane-wave DFT calculation with PBE was carried out for a relaxed structure of ZrNbNi2Ge4.

Results
DFT total energy: -6.50 eV per atom
crystal system: tetragonal
SG: P4mm (99)

Lattice parameters (Å, degrees): 3.760 3.760 8.981 90.00 90.00 90.00
Site moments in Bohr magnetons follow the coordinates.
Atoms (fractional coordinates):
Ni (0.000, 0.500, 0.003)  0.28
Ge (0.500, 0.500, 0.171)  0.00
Nb (0.000, 0.000, 0.262)  0.09
Ge (0.500, 0.000, 0.493)  0.00
Zr (0.500, 0.500, 0.737)  0.07
Ge (0.000, 0.500, 0.493)  0.00
Ge (0.000, 0.000, 0.838)  0.03
Ni (0.500, 0.000, 0.003)  0.26

A plane-wave DFT calculation with PBE was carried out for a relaxed structure of BMoOs.

Results
DFT total energy: -8.89 eV per atom
crystal system: cubic
energy above the most stable polymorph in this dataset: 0 meV per atom
SG: F-43m (216)

Lattice parameters (Å, degrees): 3.986 3.986 3.986 60.00 60.00 60.00
Atoms (fractional coordinates):
B (0.250, 0.250, 0.250)
Os (0.000, 0.000, 0.000)
Mo (0.750, 0.750, 0.750)

A plane-wave DFT calculation with PBE was carried out for a relaxed structure of W2Br5.

Results
DFT total energy: -5.33 eV per atom
crystal system: monoclinic
SG: P2_1/c (14)

Lattice parameters (Å, degrees): 9.255 10.912 18.074 90.00 103.93 90.00
Atoms (fractional coordinates):
W (0.571, 0.195, 0.865)
Br (0.686, 0.596, 0.885)
W (0.345, 0.895, 0.694)
Br (0.388, 0.001, 0.831)
Br (0.388, 0.499, 0.331)
W (0.845, 0.249, 0.388)
W (0.571, 0.305, 0.365)
W (0.655, 0.105, 0.306)
Br (0.916, 0.853, 0.122)
Br (0.623, 0.678, 0.235)
Br (0.903, 0.346, 0.018)
Br (0.612, 0.999, 0.169)
W (0.628, 0.392, 0.944)
Br (0.084, 0.147, 0.878)
Br (0.774, 0.457, 0.437)
W (0.429, 0.805, 0.135)
Br (0.314, 0.096, 0.615)
Br (0.521, 0.295, 0.500)
Br (0.643, 0.522, 0.079)
Br (0.903, 0.154, 0.518)
Br (0.521, 0.205, 0.000)
Br (0.062, 0.934, 0.680)
Br (0.304, 0.823, 0.255)
W (0.372, 0.892, 0.556)
W (0.429, 0.695, 0.635)
Br (0.916, 0.647, 0.622)
Br (0.612, 0.501, 0.669)
W (0.155, 0.749, 0.112)
Br (0.097, 0.654, 0.982)
Br (0.097, 0.846, 0.482)
W (0.845, 0.251, 0.888)
Br (0.938, 0.066, 0.320)
Br (0.479, 0.795, 0.000)
Br (0.226, 0.543, 0.563)
Br (0.304, 0.677, 0.755)
Br (0.643, 0.978, 0.579)
Br (0.938, 0.434, 0.820)
W (0.372, 0.608, 0.056)
Br (0.377, 0.322, 0.765)
W (0.655, 0.395, 0.806)
Br (0.357, 0.478, 0.921)
Br (0.062, 0.566, 0.180)
Br (0.084, 0.353, 0.378)
Br (0.696, 0.323, 0.245)
Br (0.357, 0.022, 0.421)
W (0.345, 0.605, 0.194)
Br (0.314, 0.404, 0.115)
Br (0.479, 0.705, 0.500)
Br (0.686, 0.904, 0.385)
Br (0.696, 0.177, 0.745)
Br (0.623, 0.822, 0.735)
Br (0.377, 0.178, 0.265)
W (0.155, 0.751, 0.612)
Br (0.774, 0.043, 0.937)
W (0.628, 0.108, 0.444)
Br (0.226, 0.957, 0.063)

A plane-wave DFT calculation with PBE was carried out for a relaxed structure of BeFeAu2.

Results
DFT total energy: -4.41 eV per atom
crystal system: cubic
SG: F-43m (216)

Lattice parameters (Å, degrees): 4.371 4.371 4.371 60.00 60.00 60.00
Site moments in Bohr magnetons follow the coordinates.
Atoms (fractional coordinates):
Au (0.000, 0.000, 0.000)  0.06
Be (0.500, 0.500, 0.500)  -0.06
Fe (0.250, 0.250, 0.250)  2.87
Au (0.750, 0.750, 0.750)  0.02

A plane-wave DFT calculation with PBE was carried out for a relaxed structure of TcGeB.

Results
DFT total energy: -6.43 eV per atom
crystal system: cubic
energy above the most stable polymorph in this dataset: 366 meV per atom
SG: F-43m (216)

Lattice parameters (Å, degrees): 3.944 3.944 3.944 60.00 60.00 60.00
Atoms (fractional coordinates):
Ge (0.500, 0.500, 0.500)
Tc (0.750, 0.750, 0.750)
B (0.000, 0.000, 0.000)

A plane-wave DFT calculation with PBE was carried out for a relaxed structure of NpGaHg.

Results
DFT total energy: -5.14 eV per atom
crystal system: cubic
SG: F-43m (216)

Lattice parameters (Å, degrees): 4.746 4.746 4.746 60.00 60.00 60.00
Site moments in Bohr magnetons follow the coordinates.
Atoms (fractional coordinates):
Ga (0.000, 0.000, 0.000)  -0.03
Hg (0.250, 0.250, 0.250)  -0.01
Np (0.750, 0.750, 0.750)  3.88

A plane-wave DFT calculation with PBE was carried out for a relaxed structure of KNpHgTe3.

Results
DFT total energy: -4.59 eV per atom
crystal system: orthorhombic
SG: Cmcm (63)

Lattice parameters (Å, degrees): 8.370 8.370 11.840 90.00 90.00 148.47
Site moments in Bohr magnetons follow the coordinates.
Atoms (fractional coordinates):
Te (0.367, 0.633, 0.452)  -0.06
Te (0.633, 0.367, 0.952)  -0.06
Np (0.000, 0.000, 0.000)  4.03
Te (0.633, 0.367, 0.548)  -0.06
K (0.245, 0.755, 0.750)  0.00
Te (0.075, 0.925, 0.250)  -0.05
Te (0.925, 0.075, 0.750)  -0.05
K (0.755, 0.245, 0.250)  0.00
Hg (0.460, 0.540, 0.250)  0.00
Np (0.000, 0.000, 0.500)  4.03
Hg (0.540, 0.460, 0.750)  0.00
Te (0.367, 0.633, 0.048)  -0.06

A plane-wave DFT calculation with PBE was carried out for a relaxed structure of GdY2P3.

Results
DFT total energy: -7.26 eV per atom
crystal system: trigonal
SG: P-3m1 (164)

Lattice parameters (Å, degrees): 4.026 4.026 9.850 90.00 90.00 120.00
Atoms (fractional coordinates):
P (0.667, 0.333, 0.668)
Gd (0.000, 0.000, 0.500)
Y (0.333, 0.667, 0.834)
P (0.000, 0.000, 0.000)
P (0.333, 0.667, 0.332)
Y (0.667, 0.333, 0.166)

A plane-wave DFT calculation with PBE was carried out for a relaxed structure of TbHo2Nb2.

Results
energy relative to the elements: 346 meV per atom
DFT total energy: -6.45 eV per atom
crystal system: orthorhombic
SG: Ibam (72)

Lattice parameters (Å, degrees): 7.554 7.554 7.554 117.25 80.70 134.72
Atoms (fractional coordinates):
Nb (0.807, 0.902, 0.200)
Ho (0.461, 0.412, 0.365)
Ho (0.047, 0.096, 0.635)
Ho (0.961, 0.596, 0.049)
Nb (0.307, 0.107, 0.905)
Tb (0.505, 0.005, 0.500)
Tb (0.005, 0.505, 0.500)
Nb (0.202, 0.402, 0.095)
Ho (0.547, 0.912, 0.951)
Nb (0.702, 0.607, 0.800)

A plane-wave DFT calculation with PBE was carried out for a relaxed structure of Er2Ga4CoAu.

Results
DFT total energy: -4.53 eV per atom
crystal system: orthorhombic
SG: Amm2 (38)

Lattice parameters (Å, degrees): 6.774 5.477 5.477 45.58 90.00 90.00
Atoms (fractional coordinates):
Au (0.500, 0.208, 0.208)
Ga (0.714, 0.637, 0.637)
Co (0.000, 0.793, 0.793)
Ga (0.186, 0.366, 0.366)
Ga (0.814, 0.366, 0.366)
Er (0.000, 0.074, 0.074)
Ga (0.286, 0.637, 0.637)
Er (0.500, 0.920, 0.920)

A plane-wave DFT calculation with PBE was carried out for a relaxed structure of Zr4FeBiN2.

Results
DFT total energy: -8.69 eV per atom
crystal system: hexagonal
SG: P-6m2 (187)

Lattice parameters (Å, degrees): 3.296 3.296 14.061 90.00 90.00 120.00
Site moments in Bohr magnetons follow the coordinates.
Atoms (fractional coordinates):
Zr (0.667, 0.333, 0.822)  0.01
Fe (0.667, 0.333, 0.500)  1.59
Bi (0.000, 0.000, 0.000)  0.01
Zr (0.000, 0.000, 0.363)  -0.16
Zr (0.000, 0.000, 0.637)  -0.16
N (0.333, 0.667, 0.269)  -0.01
Zr (0.667, 0.333, 0.178)  0.00
N (0.333, 0.667, 0.731)  -0.01

A plane-wave DFT calculation with PBE was carried out for a relaxed structure of RbSmHo.

Results
DFT total energy: -2.18 eV per atom
crystal system: cubic
SG: F-43m (216)

Lattice parameters (Å, degrees): 5.996 5.996 5.996 60.00 60.00 60.00
Atoms (fractional coordinates):
Ho (0.250, 0.250, 0.250)
Rb (0.750, 0.750, 0.750)
Sm (0.000, 0.000, 0.000)